! Sc6C2S, relaxed, DFT PBE; values from VASP
! Total energy = -7.429 eV/atom
! Formation energy from raw total energies = -0.70 eV/atom
! Total magnetic moment = 0.00 μB per cell
&SYSTEM
  ibrav = 0, nat = 9, ntyp = 3
/
ATOMIC_SPECIES
C 12.01 C.upf
Sc 44.96 Sc.upf
S 32.06 S.upf
CELL_PARAMETERS angstrom
-1.121 2.141 -5.098
1.301 -5.220 -2.479
-5.550 1.165 1.710
ATOMIC_POSITIONS crystal
C 0.500 0.333 0.667
C 0.500 0.667 0.333
Sc 0.730 0.365 0.000
Sc 0.270 0.365 0.365
Sc 0.730 0.000 0.365
Sc 0.270 0.000 0.635
Sc 0.730 0.635 0.635
Sc 0.270 0.635 0.000
S 0.500 0.000 0.000